## BeTl3Mo (PBE-GGA)

Data for a relaxed BeTl3Mo crystal.

Unit cell a=4.9836 b=4.9836 c=4.9836 alpha=90.00 beta=90.00 gamma=90.00
Last column: nearest neighbours and their distance in Å.
Fractional positions:
Be 0.0000 0.0000 0.0000  6 Tl 2.49
Tl 0.0000 0.5000 0.0000  2 Be 2.49
Tl 0.0000 0.0000 0.5000  2 Be 2.49
Tl 0.5000 0.0000 0.0000  2 Be 2.49
Mo 0.5000 0.5000 0.5000  12 Tl 3.52

excess energy over the best structure of this formula in the dataset	0.0000	eV per atom
raw total energy	-3.265	eV per atom
formation energy from the elements	1.066	eV per atom